ScTcMoIr, relaxed, DFT GGA-PBE; crystal system = cubic; E = -9.41 eV/atom; symmetry = No. 216; DOS(E_F) = 3.38 states/eV/cell
1.0
4.478 0.000 0.000
2.239 3.878 0.000
2.239 1.293 3.657
Sc Mo Ir Tc
1 1 1 1
Cartesian
0.000 0.000 0.000
4.478 2.586 1.828
6.718 3.878 2.743
2.239 1.293 0.914